## AlFeSCl (PBE-GGA)

Data for a relaxed structure of AlFeSCl.

abc: 2.926 2.974 8.338
angles: 99.98 90.40 90.00
Space group P1 (No. 1)
Asymmetric unit:
Al (0.000, 0.000, 0.000) [1 per cell]
Fe (0.494, 0.402, 0.798) [1 per cell]
S (0.991, 0.840, 0.671) [1 per cell]
Cl (0.505, 0.106, 0.218) [1 per cell]

Summary:
Energy relative to the lowest polymorph listed for this composition = 0.138 eV per atom
V = 17.87 Å³ per atom
Uncorrected formation energy = -0.437 eV per atom